(1)
A plane-wave DFT calculation with PBE-GGA was carried out for ZnCu2Ru after structural relaxation.

Properties
magnetic moment: 0.964 μB per cell
E: -4.604 eV per atom
formation enthalpy at 0 K: 0.081 eV per atom

abc: 2.6704 2.6704 25.5326
angles: 90.00 90.00 120.00
Last column: nearest neighbours and their distance in Å.
Space group R3m (No. 160, hexagonal axes)
One atom of each set of equivalent atoms:
Zn1 0.0000 0.0000 0.0000 x3  3 Cu 2.61, 6 Zn 2.67, 3 Ru 2.70
Cu1 0.0000 0.0000 0.4954 x3  9 Cu 2.55-2.67, 3 Ru 2.65
Cu2 0.0000 0.0000 0.7491 x3  9 Cu 2.55-2.67, 3 Zn 2.61
Ru1 0.0000 0.0000 0.2465 x3  3 Cu 2.65, 6 Ru 2.67, 3 Zn 2.70



(2)
A plane-wave DFT calculation with PBE-GGA was carried out for ZnCu2Ru after structural relaxation.

Properties
magnetic moment: 0.011 μB per cell
E: -4.603 eV per atom
formation enthalpy at 0 K: 0.083 eV per atom

abc: 2.6502 2.6502 25.8899
angles: 90.00 90.00 120.00
Last column: nearest neighbours and their distance in Å.
Space group R-3m (No. 166, hexagonal axes)
One atom of each set of equivalent atoms:
Zn1 0.0000 0.0000 0.0000 x3  6 Cu 2.63, 6 Zn 2.65
Cu1 0.0000 0.0000 0.2508 x6  3 Zn 2.63, 6 Cu 2.65, 3 Ru 2.66
Ru1 0.0000 0.0000 0.5000 x3  6 Ru 2.65, 6 Cu 2.66



(3)
A plane-wave DFT calculation with PBE-GGA was carried out for Zn3CuRu after structural relaxation.

Properties
magnetic moment: 0.000 μB per cell
E: -3.476 eV per atom
formation enthalpy at 0 K: -0.037 eV per atom

abc: 4.1868 15.7004 4.1828
angles: 90.00 90.00 90.00
Last column: nearest neighbours and their distance in Å.
Space group Cmcm (No. 63)
One atom of each set of equivalent atoms:
Zn1 0.0000 0.0511 0.2500 x4  2 Ru 2.62, 4 Zn 2.64-2.70, 2 Cu 2.65
Zn2 0.0000 0.2494 0.2500 x4  4 Cu 2.57-2.58, 4 Ru 2.60-2.61
Zn3 0.0000 0.4421 0.2500 x4  2 Ru 2.55, 2 Cu 2.59, 4 Zn 2.70-2.77
Cu1 0.0000 0.3452 0.7500 x4  8 Zn 2.57-2.65
Ru1 0.0000 0.1511 0.7500 x4  8 Zn 2.55-2.62



(4)
A plane-wave DFT calculation with PBE-GGA was carried out for ZnCu2Ru after structural relaxation.

Properties
magnetic moment: 0.001 μB per cell
E: -4.557 eV per atom
formation enthalpy at 0 K: 0.129 eV per atom

abc: 3.7622 3.7622 7.3757
angles: 90.00 90.00 90.00
Last column: nearest neighbours and their distance in Å.
Space group I4/mmm (No. 139)
One atom of each set of equivalent atoms:
Zn1 0.0000 0.0000 0.0000 x2  8 Cu 2.63, 4 Ru 2.66
Cu1 0.0000 0.5000 0.2500 x4  4 Ru 2.63, 4 Zn 2.63, 4 Cu 2.66
Ru1 0.0000 0.0000 0.5000 x2  8 Cu 2.63, 4 Zn 2.66



(5)
A plane-wave DFT calculation with PBE-GGA was carried out for Zn6CuRu after structural relaxation.

Properties
magnetic moment: 0.000 μB per cell
E: -2.692 eV per atom
formation enthalpy at 0 K: -0.065 eV per atom

abc: 6.6030 8.3119 4.0958
angles: 90.00 90.00 90.00
Last column: nearest neighbours and their distance in Å.
Space group Cmmm (No. 65)
One atom of each set of equivalent atoms:
Zn1 0.0000 0.2181 0.0000 x4  8 Zn 2.58-2.76, 2 Ru 2.73
Zn2 0.2210 0.5000 0.0000 x4  2 Cu 2.51, 4 Zn 2.58-2.76, 2 Ru 2.75
Zn3 0.2500 0.2500 0.5000 x4  8 Zn 2.64-2.92, 2 Ru 2.65, 2 Cu 2.65
Cu1 0.0000 0.5000 0.5000 x2  8 Zn 2.51-2.65
Ru1 0.0000 0.0000 0.5000 x2  12 Zn 2.65-2.75



(6)
A plane-wave DFT calculation with PBE-GGA was carried out for Zr4CuRu after structural relaxation.

Properties
magnetic moment: 0.000 μB per cell
E: -7.324 eV per atom
formation enthalpy at 0 K: 0.604 eV per atom

abc: 7.8743 7.8743 7.8743
angles: 90.00 90.00 90.00
Last column: nearest neighbours and their distance in Å.
Space group F-43m (No. 216)
One atom of each set of equivalent atoms:
Zr1 0.1236 0.1236 0.3764 x16  6 Zr 2.75-2.82
Cu1 0.0000 0.0000 0.0000 x4  12 Zr 3.27, 4 Ru 3.41
Ru1 0.2500 0.2500 0.7500 x4  12 Zr 3.26, 4 Cu 3.41



(7)
A plane-wave DFT calculation with PBE-GGA was carried out for Zr2CuRu after structural relaxation.

Properties
magnetic moment: 0.000 μB per cell
E: -7.772 eV per atom
formation enthalpy at 0 K: -0.155 eV per atom

abc: 3.3817 3.3817 6.1971
angles: 90.00 90.00 90.00
Last column: nearest neighbours and their distance in Å.
Space group P4mm (No. 99)
One atom of each set of equivalent atoms:
Zr1 0.0000 0.0000 0.0000 x1  4 Ru 2.78, 1 Cu 2.81
Zr2 0.5000 0.5000 0.3238 x1  4 Cu 2.76, 1 Ru 2.78
Cu1 0.0000 0.0000 0.5469 x1  5 Zr 2.76-2.81, 4 Ru 2.77
Ru1 0.5000 0.5000 0.7724 x1  4 Cu 2.77, 5 Zr 2.78



(8)
A plane-wave DFT calculation with PBE-GGA was carried out for ZrCuRu after structural relaxation.

Properties
magnetic moment: 0.000 μB per cell
E: -7.385 eV per atom
formation enthalpy at 0 K: -0.078 eV per atom

abc: 4.4312 4.4312 2.8431
angles: 90.00 90.00 120.00
Last column: nearest neighbours and their distance in Å.
Space group P3m1 (No. 156)
One atom of each set of equivalent atoms:
Zr1 0.0000 0.0000 0.0000 x1  3 Ru 2.72, 3 Cu 2.79, 2 Zr 2.84
Cu1 0.6667 0.3333 0.3944 x1  3 Ru 2.68, 3 Zr 2.79, 2 Cu 2.84
Ru1 0.3333 0.6667 0.6779 x1  3 Cu 2.68, 3 Zr 2.72, 2 Ru 2.84